Here is SrCa2AgRh after structural relaxation from the Alexandria database. Energies are from PBE.

Cell: 5.4188 5.4188 5.7417 Å, 90.00 90.00 90.00°
Last column: nearest neighbours and their distance in Å.
Space group P4/mmm (No. 123)
Inequivalent atoms, fractional coordinates:
Sr 0.0000 0.0000 0.0000 x1  2 Rh 2.87
Ca 0.0000 0.5000 0.5000 x2  2 Rh 2.71
Ag 0.5000 0.5000 0.0000 x1  4 Sr 3.83, 8 Ca 3.95
Rh 0.0000 0.0000 0.5000 x1  4 Ca 2.71, 2 Sr 2.87

## Properties
Electronic total energy in eV per atom: -3.319
DOS(E_F) in states/eV per cell: 3.4
Energy above the lowest structure with this stoichiometry in meV/atom: 0
Volume in Å³ per atom: 33.7